[1]
The following is a DFT calculation (PBE-GGA) of a relaxed Sr2CaGeN crystal.

Cell lengths 5.2279, 5.2279, 4.7730 Å; angles 90.00, 90.00, 90.00 degrees
Closest atoms and distances in Å follow each position.
Fractional coordinates of all 5 atoms:
Ge: 0.5000 0.5000 0.5000  8 Sr 3.54, 4 Ca 3.70
N: 0.0000 0.0000 0.0000  2 Ca 2.39, 4 Sr 2.61
Sr: 0.0000 0.5000 0.0000  2 N 2.61
Sr: 0.5000 0.0000 0.0000  2 N 2.61
Ca: 0.0000 0.0000 0.5000  2 N 2.39

Calculated values
Total DFT energy (no corrections): -0.313 Ry per atom
Space group: No. 123


[2]
The following is a DFT calculation (PBE-GGA) of a relaxed Hf2SbP crystal.

Cell lengths 3.7769, 3.7769, 7.0578 Å; angles 74.48, 74.48, 60.00 degrees
Closest atoms and distances in Å follow each position.
Fractional coordinates of all 4 atoms:
Hf: 0.0681 0.0681 0.7958  3 P 2.56
Hf: 0.2648 0.2648 0.2055  3 P 2.59
Sb: 0.4994 0.4994 0.5019  6 Hf 2.94-2.95
P: 0.6677 0.6677 0.9969  6 Hf 2.56-2.59

Calculated values
Total DFT energy (no corrections): -0.610 Ry per atom
Offset from the most stable computed form: 41.9 meV per atom
Space group: No. 160


[3]
The following is a DFT calculation (PBE-GGA) of a relaxed CaBiH crystal.

Cell lengths 6.7074, 6.6284, 6.6975 Å; angles 90.00, 90.00, 90.00 degrees
Closest atoms and distances in Å follow each position.
Fractional coordinates of all 12 atoms:
Bi: 0.2466 0.7500 0.8976  1 H 1.94
Bi: 0.2534 0.2500 0.3976  1 H 1.94
Bi: 0.7534 0.2500 0.1024  1 H 1.94
Bi: 0.7466 0.7500 0.6024  1 H 1.94
H: 0.4663 0.2500 0.5932  1 Bi 1.94
H: 0.9663 0.2500 0.9068  1 Bi 1.94
H: 0.0337 0.7500 0.0932  1 Bi 1.94
H: 0.5337 0.7500 0.4068  1 Bi 1.94
Ca: 0.8074 0.2500 0.5966  2 H 2.29-2.34
Ca: 0.1926 0.7500 0.4034  2 H 2.29-2.34
Ca: 0.3074 0.2500 0.9034  2 H 2.29-2.34
Ca: 0.6926 0.7500 0.0966  2 H 2.29-2.34

Calculated values
Total DFT energy (no corrections): -0.252 Ry per atom
Offset from the most stable computed form: 106.9 meV per atom
Space group: No. 62


[4]
The following is a DFT calculation (PBE-GGA) of a relaxed Ce2ZnCu3Ge4 crystal.

Cell lengths 4.2418, 4.2418, 10.0443 Å; angles 90.00, 90.00, 90.00 degrees
Closest atoms and distances in Å follow each position.
Fractional coordinates of all 10 atoms:
Cu: 0.0000 0.0000 0.5000  4 Ge 2.54
Cu: 0.0000 0.5000 0.1249  5 Ge 2.37-2.46
Cu: 0.5000 0.0000 0.8751  5 Ge 2.37-2.46
Ge: 0.0000 0.5000 0.3608  3 Cu 2.37-2.54, 2 Zn 2.54
Ge: 0.5000 0.5000 0.0000  4 Cu 2.46
Ge: 0.0000 0.0000 0.0000  4 Cu 2.46
Ge: 0.5000 0.0000 0.6392  3 Cu 2.37-2.54, 2 Zn 2.54
Zn: 0.5000 0.5000 0.5000  4 Ge 2.54
Ce: 0.0000 0.5000 0.7522  8 Ge 3.21-3.27, 6 Cu 3.24-3.30, 2 Zn 3.30
Ce: 0.5000 0.0000 0.2478  8 Ge 3.21-3.27, 6 Cu 3.24-3.30, 2 Zn 3.30

Calculated values
Total DFT energy (no corrections): -0.358 Ry per atom
Space group: No. 115
E_form: -0.474 eV/atom


[5]
The following is a DFT calculation (PBE-GGA) of a relaxed PmTh3Sc4 crystal.

Cell lengths 3.7201, 5.5283, 11.0647 Å; angles 90.00, 90.00, 90.00 degrees
Closest atoms and distances in Å follow each position.
Fractional coordinates of all 8 atoms:
Sc: 0.0000 0.5000 0.2547  6 Th 3.29-3.33, 2 Pm 3.38
Sc: 0.0000 0.0000 0.0000  4 Th 3.32, 4 Pm 3.33, 2 Sc 3.72
Sc: 0.0000 0.5000 0.7453  6 Th 3.29-3.33, 2 Pm 3.38
Sc: 0.0000 0.0000 0.5000  8 Th 3.33-3.34, 2 Sc 3.72
Th: 0.5000 0.5000 0.5000  8 Sc 3.29-3.33
Th: 0.5000 0.0000 0.2490  8 Sc 3.32-3.34, 2 Th 3.72
Th: 0.5000 0.0000 0.7510  8 Sc 3.32-3.34, 2 Th 3.72
Pm: 0.5000 0.5000 0.0000  8 Sc 3.33-3.38, 2 Pm 3.72

Calculated values
Total DFT energy (no corrections): -0.477 Ry per atom
Space group: No. 47
E_form: 0.049 eV/atom


[6]
The following is a DFT calculation (PBE-GGA) of a relaxed KTc2F crystal.

Cell lengths 3.4534, 3.4534, 16.2827 Å; angles 83.91, 83.91, 90.00 degrees
Closest atoms and distances in Å follow each position.
Fractional coordinates of all 8 atoms:
F: 0.5000 0.5000 0.0000  4 K 2.44
F: 0.2500 0.7500 0.5000  4 K 2.44
Tc: 0.1241 0.6250 0.2500  4 Tc 2.44-2.45
Tc: 0.6259 0.1250 0.2500  4 Tc 2.44-2.45
Tc: 0.8750 0.8759 0.7500  4 Tc 2.44-2.45
Tc: 0.3750 0.3741 0.7500  4 Tc 2.44-2.45
K: 0.0000 0.0000 0.0000  4 F 2.44
K: 0.7500 0.2500 0.5000  4 F 2.44

Calculated values
Total DFT energy (no corrections): -0.444 Ry per atom
Offset from the most stable computed form: 0.0 meV per atom
Space group: No. 122


[7]
The following is a DFT calculation (PBE-GGA) of a relaxed NdCuP2Pd crystal.

Cell lengths 4.0523, 4.0523, 5.8865 Å; angles 110.13, 110.13, 90.00 degrees
Closest atoms and distances in Å follow each position.
Fractional coordinates of all 5 atoms:
P: 0.3850 0.3850 0.7700  1 P 2.36, 2 Pd 2.46, 2 Cu 2.46
P: 0.6150 0.6150 0.2300  1 P 2.36, 2 Pd 2.46, 2 Cu 2.46
Nd: 0.0000 0.0000 0.0000  8 P 3.10, 4 Cu 3.27, 4 Pd 3.27
Pd: 0.7500 0.2500 0.5000  4 P 2.46
Cu: 0.2500 0.7500 0.5000  4 P 2.46

Calculated values
Total DFT energy (no corrections): -0.425 Ry per atom
Space group: No. 119
E_form: -0.802 eV/atom


[8]
The following is a DFT calculation (PBE-GGA) of a relaxed CaNiCl2 crystal.

Cell lengths 7.5030, 7.5030, 7.5030 Å; angles 30.13, 30.13, 30.13 degrees
Closest atoms and distances in Å follow each position.
Fractional coordinates of all 4 atoms:
Cl: 0.1924 0.1924 0.1924  3 Ni 2.26
Cl: 0.0245 0.0245 0.0245  3 Ca 2.73
Ca: 0.7635 0.7635 0.7635  6 Cl 2.73-3.05, 3 Ni 2.96
Ni: 0.5196 0.5196 0.5196  3 Cl 2.26

Calculated values
Total DFT energy (no corrections): -0.293 Ry per atom
Offset from the most stable computed form: 69.4 meV per atom
Space group: No. 160


Q: total DFT energy (no corrections) of number 3 (CaBiH)?
A: -0.252 Ry per atom